A relaxed LaBWF2 crystal. Source: Alexandria, functional PBE with a Hubbard U.

The structure in extended XYZ format:
```
5
Lattice="4.421 0.000 0.000 0.000 4.530 0.000 0.000 0.000 4.421" Properties=species:S:1:pos:R:3 pbc="T T T"
F 0.000 0.000 2.210
F 2.210 0.000 0.000
La 2.210 2.265 2.210
W 0.000 2.265 0.000
B 0.000 0.000 0.000
```

## Properties
E	-4.75	eV per atom
size of the total moment	3.9	Bohr magnetons per cell